Entry 1:
AlAuBr2 after structural relaxation. Source: Alexandria via LeMat-Bulk, functional PBE-GGA.

## Properties
**Energy relative to the elements, uncorrected**: -1.420 eV/f.u.

a b c (Å): 6.1593 6.1593 6.1593
angles (deg): 147.37 106.07 83.17
Fractional positions:
1 Au 0.2876 0.7876 0.5000
2 Br 0.6792 0.1792 0.5000
3 Br 0.0557 0.0557 0.0000
4 Al 0.4775 0.4775 0.0000

Entry 2:
ZnHgS2N after structural relaxation. Source: Alexandria via LeMat-Bulk, functional PBE-GGA.

## Properties
**Energy relative to the elements, uncorrected**: 4.648 eV/f.u.

a b c (Å): 4.9347 4.9347 3.8267
angles (deg): 90.00 90.00 90.00
Site moments in Bohr magnetons follow the coordinates.
Fractional positions:
1 S 0.5000 0.0000 0.0000  0.22
2 S 0.0000 0.5000 0.0000  0.22
3 Zn 0.0000 0.0000 0.0000  0.06
4 Hg 0.5000 0.5000 0.5000  0.02
5 N 0.0000 0.0000 0.5000  1.18

Entry 3:
DyScCuSi after structural relaxation. Source: Alexandria via LeMat-Bulk, functional PBE-GGA.

## Properties
**Energy relative to the elements, uncorrected**: -1.759 eV/f.u.

a b c (Å): 4.7800 4.7800 4.7800
angles (deg): 60.00 60.00 60.00
Fractional positions:
1 Cu 0.5000 0.5000 0.5000
2 Dy 0.7500 0.7500 0.7500
3 Sc 0.2500 0.2500 0.2500
4 Si 0.0000 0.0000 0.0000

Which of these has the lowest energy relative to the elements, uncorrected? DyScCuSi